Computed, not measured: a geometry-optimized YTaPb2 structure at the PBE-GGA level of DFT.

Cell: 3.3106 3.3106 34.6292 Å, 90.00 90.00 120.00°
Space group R3m (No. 160, hexagonal axes)
Asymmetric unit:
Y (0.0000, 0.0000, 0.0000)
Ta (0.0000, 0.0000, 0.2627)
Pb (0.0000, 0.0000, 0.5214)
Pb (0.0000, 0.0000, 0.7536)

Properties
The value obtained for the energy is -6.147 eV per atom. The calculation puts the energy relative to the elements at 0.29 eV/atom. Its size of the total moment is 0.000 μB per atom.

=====

Computed, not measured: a geometry-optimized TiCoSb structure at the PBE-GGA level of DFT.

Cell: 3.2208 3.9365 4.2248 Å, 90.00 90.00 90.00°
Space group Pmmm (No. 47)
Asymmetric unit:
Ti (0.0000, 0.0000, 0.0000)
Co (0.5000, 0.5000, 0.0000)
Sb (0.0000, 0.5000, 0.5000)

Properties
The value obtained for the energy is -6.437 eV per atom. Its energy relative to the elements, uncorrected is -0.063 eV per atom. Its size of the total moment is 0.000 μB per atom.

=====

Computed, not measured: a geometry-optimized LiPb3 structure at the PBE-GGA level of DFT.

Cell: 10.8464 10.8464 3.4301 Å, 90.00 90.00 120.00°
Space group R-3m (No. 166, hexagonal axes)
Asymmetric unit:
Li (0.0000, 0.0000, 0.0000)
Pb (0.0000, 0.5000, 0.0000)

Properties
The value obtained for the energy is -3.294 eV per atom. The calculation puts the energy relative to the elements at -0.03 eV/atom. Its size of the total moment is 0.000 μB per atom.